#1
## CuNi2Pt6 (GGA-PBE)

Data for crystalline CuNi2Pt6 at its relaxed geometry.

## Properties
- total moment (μB/cell) = 2.5
- D(E_F) (states/eV/cell) = 15.7
- ρ (g/cm³) = 14.32

a b c (Å): 7.077 7.077 7.077
angles (deg): 44.24 44.24 44.24
Atoms (fractional coordinates):
Cu 0.000 0.000 0.000
Ni 0.222 0.222 0.222
Ni 0.445 0.445 0.445
Pt 0.235 0.727 0.727
Pt 0.440 0.937 0.937
Pt 0.727 0.235 0.727
Pt 0.727 0.727 0.235
Pt 0.937 0.440 0.937
Pt 0.937 0.937 0.440

=====

#2
## CuNi2Pt6 (GGA-PBE)

Data for crystalline CuNi2Pt6 at its relaxed geometry.

## Properties
- total moment (μB/cell) = 4.4
- D(E_F) (states/eV/cell) = 31.3
- ρ (g/cm³) = 17.40

a b c (Å): 8.126 8.126 3.906
angles (deg): 90.00 90.00 90.00
Atoms (fractional coordinates):
Cu 0.000 0.000 0.000
Cu 0.500 0.500 0.500
Ni 0.171 0.171 0.500
Ni 0.329 0.671 0.000
Ni 0.671 0.329 0.000
Ni 0.829 0.829 0.500
Pt 0.003 0.326 0.000
Pt 0.157 0.843 0.500
Pt 0.174 0.503 0.500
Pt 0.326 0.003 0.000
Pt 0.343 0.343 0.000
Pt 0.497 0.826 0.500
Pt 0.503 0.174 0.500
Pt 0.657 0.657 0.000
Pt 0.674 0.997 0.000
Pt 0.826 0.497 0.500
Pt 0.843 0.157 0.500
Pt 0.997 0.674 0.000

=====

Last place for stability: #1

=====

#1
## Cu4NiPt (GGA-PBE)

Data for crystalline Cu4NiPt at its relaxed geometry.

## Properties
- total moment (μB/cell) = 0.0
- D(E_F) (states/eV/cell) = 2.3
- ρ (g/cm³) = 11.20

a b c (Å): 4.740 4.740 4.740
angles (deg): 60.00 60.00 60.00
Atoms (fractional coordinates):
Cu 0.125 0.125 0.125
Cu 0.125 0.125 0.626
Cu 0.125 0.626 0.125
Cu 0.626 0.125 0.125
Ni 0.750 0.750 0.750
Pt 0.500 0.500 0.500

=====

#2
## Cu4NiPt (GGA-PBE)

Data for crystalline Cu4NiPt at its relaxed geometry.

## Properties
- total moment (μB/cell) = 0.0
- D(E_F) (states/eV/cell) = 6.2
- ρ (g/cm³) = 10.36

a b c (Å): 6.462 6.462 4.431
angles (deg): 100.44 100.44 64.35
Atoms (fractional coordinates):
Cu 0.055 0.697 0.441
Cu 0.177 0.823 0.000
Cu 0.303 0.945 0.559
Cu 0.319 0.319 0.666
Cu 0.681 0.681 0.334
Cu 0.697 0.055 0.441
Cu 0.823 0.177 0.000
Cu 0.945 0.303 0.559
Ni 0.199 0.199 0.104
Ni 0.801 0.801 0.896
Pt 0.434 0.434 0.216
Pt 0.566 0.566 0.784

=====

Last place for stability: #2

=====

#1
## CuNi6Pt (GGA-PBE)

Data for crystalline CuNi6Pt at its relaxed geometry.

## Properties
- total moment (μB/cell) = 0.0
- D(E_F) (states/eV/cell) = 11.3
- ρ (g/cm³) = 8.38

a b c (Å): 6.822 6.822 6.822
angles (deg): 40.56 40.56 40.56
Atoms (fractional coordinates):
Cu 0.000 0.000 0.000
Ni 0.054 0.565 0.565
Ni 0.435 0.435 0.946
Ni 0.435 0.946 0.435
Ni 0.565 0.054 0.565
Ni 0.565 0.565 0.054
Ni 0.946 0.435 0.435
Pt 0.500 0.500 0.500

=====

#2
## CuNi6Pt (GGA-PBE)

Data for crystalline CuNi6Pt at its relaxed geometry.

## Properties
- total moment (μB/cell) = 16.2
- D(E_F) (states/eV/cell) = 46.3
- ρ (g/cm³) = 10.86

a b c (Å): 6.233 6.233 10.211
angles (deg): 90.00 90.00 109.63
Atoms (fractional coordinates):
Cu 0.000 0.000 0.247
Cu 0.000 0.000 0.753
Cu 0.250 0.750 0.000
Cu 0.750 0.250 0.000
Ni 0.000 0.000 0.000
Ni 0.000 0.000 0.500
Ni 0.120 0.372 0.122
Ni 0.120 0.372 0.878
Ni 0.123 0.370 0.371
Ni 0.123 0.370 0.629
Ni 0.248 0.752 0.246
Ni 0.248 0.752 0.754
Ni 0.370 0.123 0.371
Ni 0.370 0.123 0.629
Ni 0.372 0.120 0.122
Ni 0.372 0.120 0.878
Ni 0.500 0.500 0.000
Ni 0.500 0.500 0.500
Ni 0.628 0.880 0.122
Ni 0.628 0.880 0.878
Ni 0.630 0.877 0.371
Ni 0.630 0.877 0.629
Ni 0.752 0.248 0.246
Ni 0.752 0.248 0.754
Ni 0.877 0.630 0.371
Ni 0.877 0.630 0.629
Ni 0.880 0.628 0.122
Ni 0.880 0.628 0.878
Pt 0.250 0.750 0.500
Pt 0.500 0.500 0.247
Pt 0.500 0.500 0.753
Pt 0.750 0.250 0.500

=====

Last place for stability: #1

=====

#1
## CuNi4Pt3 (GGA-PBE)

Data for crystalline CuNi4Pt3 at its relaxed geometry.

## Properties
- total moment (μB/cell) = 3.6
- D(E_F) (states/eV/cell) = 13.1
- ρ (g/cm³) = 14.11

a b c (Å): 7.749 7.749 7.749
angles (deg): 151.76 151.76 40.37
Atoms (fractional coordinates):
Cu 0.000 0.000 0.000
Ni 0.123 0.623 0.500
Ni 0.377 0.877 0.500
Ni 0.623 0.123 0.500
Ni 0.877 0.377 0.500
Pt 0.250 0.250 0.000
Pt 0.500 0.500 0.000
Pt 0.750 0.750 0.000

=====

#2
## CuNi4Pt3 (GGA-PBE)

Data for crystalline CuNi4Pt3 at its relaxed geometry.

## Properties
- total moment (μB/cell) = 2.3
- D(E_F) (states/eV/cell) = 13.2
- ρ (g/cm³) = 13.63

a b c (Å): 5.570 5.570 5.570
angles (deg): 126.49 78.81 126.82
Atoms (fractional coordinates):
Cu 0.000 0.000 0.000
Ni 0.452 0.203 0.250
Ni 0.454 0.202 0.747
Ni 0.454 0.707 0.253
Ni 0.953 0.203 0.750
Pt 0.470 0.706 0.764
Pt 0.940 0.440 0.500
Pt 0.942 0.706 0.236

=====

Last place for stability: #2

=====

#1
## CuNi3Pt (GGA-PBE)

Data for crystalline CuNi3Pt at its relaxed geometry.

## Properties
- total moment (μB/cell) = 4.0
- D(E_F) (states/eV/cell) = 15.4
- ρ (g/cm³) = 11.76

a b c (Å): 4.674 4.674 6.462
angles (deg): 75.10 75.37 65.85
Atoms (fractional coordinates):
Cu 0.052 0.052 0.289
Cu 0.948 0.948 0.711
Ni 0.000 0.500 0.500
Ni 0.097 0.600 0.105
Ni 0.401 0.902 0.895
Ni 0.500 0.000 0.500
Ni 0.599 0.098 0.105
Ni 0.903 0.400 0.895
Pt 0.445 0.446 0.717
Pt 0.555 0.554 0.283

=====

#2
## CuNi3Pt (GGA-PBE)

Data for crystalline CuNi3Pt at its relaxed geometry.

## Properties
- total moment (μB/cell) = 2.0
- D(E_F) (states/eV/cell) = 8.6
- ρ (g/cm³) = 9.63

a b c (Å): 4.217 4.217 4.217
angles (deg): 90.00 90.00 90.00
Atoms (fractional coordinates):
Cu 0.000 0.000 0.000
Ni 0.000 0.000 0.500
Ni 0.000 0.500 0.000
Ni 0.500 0.000 0.000
Pt 0.500 0.500 0.500

=====

Last place for stability: #2

=====

#1
## Cu2Ni7Pt2 (GGA-PBE)

Data for crystalline Cu2Ni7Pt2 at its relaxed geometry.

## Properties
- total moment (μB/cell) = 4.7
- D(E_F) (states/eV/cell) = 18.6
- ρ (g/cm³) = 11.02

a b c (Å): 5.778 5.778 4.363
angles (deg): 99.65 99.65 79.73
Atoms (fractional coordinates):
Cu 0.250 0.250 0.246
Cu 0.750 0.750 0.754
Ni 0.000 0.000 0.500
Ni 0.061 0.403 0.737
Ni 0.403 0.061 0.737
Ni 0.462 0.462 0.728
Ni 0.538 0.538 0.272
Ni 0.597 0.939 0.263
Ni 0.939 0.597 0.263
Pt 0.191 0.809 0.000
Pt 0.809 0.191 0.000

=====

#2
## Cu2Ni7Pt2 (GGA-PBE)

Data for crystalline Cu2Ni7Pt2 at its relaxed geometry.

## Properties
- total moment (μB/cell) = 5.1
- D(E_F) (states/eV/cell) = 17.1
- ρ (g/cm³) = 10.86

a b c (Å): 5.116 5.116 6.791
angles (deg): 111.31 111.31 61.84
Atoms (fractional coordinates):
Cu 0.245 0.755 0.000
Cu 0.755 0.245 0.000
Ni 0.036 0.533 0.339
Ni 0.462 0.970 0.648
Ni 0.466 0.466 0.651
Ni 0.533 0.036 0.339
Ni 0.537 0.537 0.339
Ni 0.965 0.965 0.649
Ni 0.970 0.462 0.648
Pt 0.251 0.251 0.995
Pt 0.749 0.749 0.999

=====

Last place for stability: #1